Entry 1:
The following is a DFT calculation (PBE-GGA) of Na5Mg after structural relaxation.

Magnetic moment, μB per formula unit: 0.0
Energy of formation, eV per atom: 0.05

a b c (Å): 3.6097 3.6097 15.5278
angles (deg): 90.00 90.00 90.00
Atoms (fractional coordinates):
Na: 0.0000 0.0000 0.0000
Na: 0.0000 0.0000 0.3517
Na: 0.0000 0.0000 0.6483
Na: 0.5000 0.5000 0.1768
Na: 0.5000 0.5000 0.8232
Mg: 0.5000 0.5000 0.5000

Entry 2:
The following is a DFT calculation (PBE-GGA) of UTl2Te4Pd after structural relaxation.

Uncorrected formation energy, eV/atom: -0.3806
Magnetic moment, μB per formula unit: 1.5

a b c (Å): 6.8606 4.2853 8.9126
angles (deg): 90.00 107.11 90.00
Atoms (fractional coordinates):
U: 0.0000 0.0000 0.0000
Tl: 0.0000 0.5000 0.5000
Tl: 0.5000 0.0000 0.5000
Te: 0.2493 0.5000 0.2114
Te: 0.2841 0.0000 0.8046
Te: 0.7159 0.0000 0.1954
Te: 0.7507 0.5000 0.7886
Pd: 0.5000 0.5000 0.0000

Entry 3:
The following is a DFT calculation (PBE-GGA) of PmCd5Ag2 after structural relaxation.

Magnetic moment, μB per formula unit: 0.0
Energy of formation, eV per atom: -0.15

a b c (Å): 7.5134 7.5134 7.5134
angles (deg): 153.36 105.75 80.49
Atoms (fractional coordinates):
Pm: 0.0000 0.0000 0.0000
Cd: 0.1435 0.3654 0.7781
Cd: 0.4128 0.6346 0.7781
Cd: 0.5000 0.0000 0.5000
Cd: 0.5872 0.3654 0.2219
Cd: 0.8565 0.6346 0.2219
Ag: 0.2458 0.7458 0.5000
Ag: 0.7542 0.2542 0.5000

Entry 4:
The following is a DFT calculation (PBE-GGA) of Th2HgN after structural relaxation.

Uncorrected formation energy, eV/atom: -0.7953
Magnetic moment, μB per formula unit: 0.0

a b c (Å): 3.7279 3.7279 8.2112
angles (deg): 103.13 103.13 60.14
Atoms (fractional coordinates):
Th: 0.2250 0.2250 0.1753
Th: 0.7750 0.7750 0.8247
Hg: 0.0000 0.0000 0.5000
N: 0.5000 0.5000 0.0000